Computed, not measured: BaHgIr4 at its PBEsol-relaxed geometry at the SCAN level of DFT.

- size of the total moment (μB per cell) = 4.5
- energy (eV per atom) = -65.0054
- theoretical density (kg/m3) = 16540
- formation enthalpy at 0 K (eV per atom) = 0.35
- D(E_F) (states/eV/cell) = 19.5

Structure (CIF):
```
data_BaHgIr4
_symmetry_space_group_name_H-M 'F -4 3 m'
_symmetry_Int_Tables_number 216
_symmetry_space_group_name_Hall 'F -4 2 3'
_cell_length_a 7.632
_cell_length_b 7.632
_cell_length_c 7.632
_cell_angle_alpha 90.00
_cell_angle_beta 90.00
_cell_angle_gamma 90.00
loop_
_atom_site_label
_atom_site_fract_x
_atom_site_fract_y
_atom_site_fract_z
Ba1 0.000 0.000 0.000
Hg1 0.250 0.250 0.250
Ir1 0.125 0.125 0.625
```